Below is crystalline ZrBRh3 at its relaxed geometry, with properties calculated at the PBE level.

abc: 7.0407 5.5052 9.1834
angles: 90.00 125.71 90.00
With the nearest neighbours (Å) after each atom.
Sites, in units of the cell vectors:
Zr (0.1866, 0.2281, 0.0932)  1 B 2.57, 5 Rh 2.65-2.75
Zr (0.1866, 0.2719, 0.5932)  1 B 2.57, 5 Rh 2.65-2.75
Zr (0.8134, 0.7281, 0.4068)  1 B 2.57, 5 Rh 2.65-2.75
Zr (0.8134, 0.7719, 0.9068)  1 B 2.57, 5 Rh 2.65-2.75
B (0.2340, 0.6170, 0.4286)  5 Rh 2.07-2.27
B (0.2340, 0.8830, 0.9286)  5 Rh 2.07-2.27
B (0.7660, 0.1170, 0.0714)  5 Rh 2.07-2.27
B (0.7660, 0.3830, 0.5714)  5 Rh 2.07-2.27
Rh (0.0594, 0.5501, 0.7979)  2 B 2.10-2.14
Rh (0.0594, 0.9499, 0.2979)  2 B 2.10-2.14
Rh (0.2840, 0.7146, 0.1692)  1 B 2.23
Rh (0.2840, 0.7854, 0.6692)  1 B 2.23
Rh (0.4235, 0.2278, 0.9454)  2 B 2.07-2.27
Rh (0.4235, 0.2722, 0.4454)  2 B 2.07-2.27
Rh (0.5765, 0.7278, 0.5546)  2 B 2.07-2.27
Rh (0.5765, 0.7722, 0.0546)  2 B 2.07-2.27
Rh (0.7160, 0.2146, 0.3308)  1 B 2.23
Rh (0.7160, 0.2854, 0.8308)  1 B 2.23
Rh (0.9406, 0.0501, 0.7021)  2 B 2.10-2.14
Rh (0.9406, 0.4499, 0.2021)  2 B 2.10-2.14

Summary:
Space group: No. 14
Crystal system: monoclinic
Energy of formation (meV/atom): -520



Below is crystalline Al2GaBr2 at its relaxed geometry, with properties calculated at the PBE level.

abc: 8.3246 8.3246 4.2183
angles: 90.00 90.00 90.00
With the nearest neighbours (Å) after each atom.
Sites, in units of the cell vectors:
Al (0.1895, 0.3105, 0.0000)  2 Br 2.81
Al (0.3105, 0.8105, 0.0000)  2 Br 2.81
Al (0.6895, 0.1895, 0.0000)  2 Br 2.81
Al (0.8105, 0.6895, 0.0000)  2 Br 2.81
Ga (0.0000, 0.0000, 0.5000)  4 Br 3.16
Ga (0.5000, 0.5000, 0.5000)  4 Br 3.16
Br (0.1532, 0.6532, 0.5000)  2 Al 2.81
Br (0.3468, 0.1532, 0.5000)  2 Al 2.81
Br (0.6532, 0.8468, 0.5000)  2 Al 2.81
Br (0.8468, 0.3468, 0.5000)  2 Al 2.81

Summary:
Space group: No. 127
Crystal system: tetragonal
Energy above the lowest structure with this stoichiometry (eV per atom): 0.2628
Raw formation energy (eV per formula unit): 0.5



Below is crystalline Tc2Hg2O at its relaxed geometry, with properties calculated at the PBE level.

abc: 3.7999 3.7999 13.3796
angles: 90.00 90.00 90.00
With the nearest neighbours (Å) after each atom.
Sites, in units of the cell vectors:
Tc (0.0000, 0.0000, 0.0778)  1 Tc 2.08
Tc (0.0000, 0.0000, 0.9222)  1 Tc 2.08
Tc (0.5000, 0.5000, 0.4222)  1 Tc 2.08
Tc (0.5000, 0.5000, 0.5778)  1 Tc 2.08
Hg (0.0000, 0.5000, 0.2500)  4 Hg 2.69, 4 Tc 2.99
Hg (0.0000, 0.5000, 0.7500)  4 Hg 2.69, 4 Tc 2.99
Hg (0.5000, 0.0000, 0.2500)  4 Hg 2.69, 4 Tc 2.99
Hg (0.5000, 0.0000, 0.7500)  4 Hg 2.69, 4 Tc 2.99
O (0.0000, 0.0000, 0.5000)  8 Tc 2.88
O (0.5000, 0.5000, 0.0000)  8 Tc 2.88

Summary:
Space group: No. 139
Crystal system: tetragonal
Energy above the lowest structure with this stoichiometry (eV per atom): 1.0033
Raw formation energy (eV per formula unit): 6.0



| no. | density of states at the Fermi level (states/eV/atom) | total energy (eV/cell) |
| --- | --- | --- |
| 1 | 0.1744 | -159.52 |
| 2 | 0.3090 | -26.71 |
| 3 | 0.7957 | -40.66 |